DFT (PBE) results for a relaxed structure of CrGa3.

The structure in CIF format:
```
data_CrGa3
_cell_length_a 2.9778
_cell_length_b 8.7349
_cell_length_c 4.6752
_cell_angle_alpha 90.00
_cell_angle_beta 90.00
_cell_angle_gamma 90.00
_symmetry_space_group_name_H-M 'P 1'
_symmetry_Int_Tables_number 1
loop_
_symmetry_equiv_pos_as_xyz
'x,y,z'
loop_
_atom_site_label
_atom_site_type_symbol
_atom_site_fract_x
_atom_site_fract_y
_atom_site_fract_z
Cr1 Cr 0.0000 0.0000 0.0000
Cr2 Cr 0.5000 0.5000 0.5000
Ga1 Ga 0.0000 0.2637 0.6760
Ga2 Ga 0.0000 0.5000 0.0372
Ga3 Ga 0.0000 0.7363 0.6760
Ga4 Ga 0.5000 0.0000 0.5372
Ga5 Ga 0.5000 0.2363 0.1760
Ga6 Ga 0.5000 0.7637 0.1760
```

Size of the total moment (μB/f.u.): 1.76
Symmetry: Imm2, No. 44
Energy of formation from the pure elements (eV/atom): 0.055


DFT (PBE) results for a relaxed structure of SmSi2Ni3.

The structure in CIF format:
```
data_SmSi2Ni3
_cell_length_a 7.9402
_cell_length_b 7.9402
_cell_length_c 9.3629
_cell_angle_alpha 107.09
_cell_angle_beta 107.09
_cell_angle_gamma 27.81
_symmetry_space_group_name_H-M 'P 1'
_symmetry_Int_Tables_number 1
loop_
_symmetry_equiv_pos_as_xyz
'x,y,z'
loop_
_atom_site_label
_atom_site_type_symbol
_atom_site_fract_x
_atom_site_fract_y
_atom_site_fract_z
Sm1 Sm 0.0000 0.0000 0.0000
Sm2 Sm 0.1547 0.1547 0.6992
Sm3 Sm 0.8453 0.8453 0.3008
Si1 Si 0.2004 0.2004 0.1302
Si2 Si 0.3608 0.3608 0.5502
Si3 Si 0.4728 0.4728 0.2307
Si4 Si 0.5272 0.5272 0.7693
Si5 Si 0.6392 0.6392 0.4498
Si6 Si 0.7996 0.7996 0.8698
Ni1 Ni 0.0491 0.0491 0.3432
Ni2 Ni 0.2164 0.2164 0.3932
Ni3 Ni 0.3229 0.3229 0.0306
Ni4 Ni 0.3714 0.3714 0.7953
Ni5 Ni 0.5000 0.5000 0.5000
Ni6 Ni 0.6286 0.6286 0.2047
Ni7 Ni 0.6771 0.6771 0.9694
Ni8 Ni 0.7836 0.7836 0.6068
Ni9 Ni 0.9509 0.9509 0.6568
```

Size of the total moment (μB/f.u.): 0.00
Symmetry: C2/m, No. 12
Formation energy (no corrections) (eV/atom): -0.7361